1.
Below is a relaxed structure of Ba2NaPt, with properties calculated at the PBE level.

Computed properties:
Density of states at the Fermi level = 0.725 states/eV per atom
Total magnetization = 0.00 μB per cell
Total DFT energy (no corrections) = -3.155 eV/atom
Space group = No. 46
Energy relative to the elements = -136.5 kJ/mol of formula units
Calculated volume = 345.8 Å³/cell

Unit cell a=6.380 b=8.043 c=8.043 alpha=75.73 beta=66.63 gamma=66.63
Fractional coordinates of all 8 atoms:
Ba  0.897  0.537  0.669
Ba  0.376  0.876  0.372
Na  0.678  0.452  0.192
Pt  0.400  0.535  0.666
Na  0.322  0.308  0.048
Pt  0.600  0.834  0.965
Ba  0.624  0.128  0.624
Ba  0.103  0.831  0.963



2.
Below is a relaxed structure of CoHg3Ir, with properties calculated at the PBE level.

Computed properties:
Density of states at the Fermi level = 2.803 states/eV per atom
Total magnetization = 2.72 μB per cell
Excess energy over the best structure of this formula in the dataset = 0.0 meV per atom
Total DFT energy (no corrections) = -2.287 eV/atom
Space group = No. 221
Energy relative to the elements = 524.6 kJ/mol of formula units
Calculated volume = 141.9 Å³/cell

Unit cell a=5.216 b=5.216 c=5.216 alpha=90.00 beta=90.00 gamma=90.00
Fractional coordinates of all 5 atoms:
Hg  0.000  0.000  0.500
Hg  0.500  0.000  0.000
Ir  0.000  0.000  0.000
Co  0.500  0.500  0.500
Hg  0.000  0.500  0.000



3.
Below is a relaxed structure of ZnReBr2, with properties calculated at the PBE level.

Computed properties:
Density of states at the Fermi level = 0.656 states/eV per atom
Total magnetization = 3.54 μB per cell
Excess energy over the best structure of this formula in the dataset = 936.6 meV per atom
Total DFT energy (no corrections) = -3.142 eV/atom
Energy relative to the elements, uncorrected = 1.1246 eV/atom
Space group = No. 119
Calculated volume = 92.6 Å³/cell

Unit cell a=6.812 b=6.812 c=6.812 alpha=147.16 beta=147.16 gamma=47.12
Fractional coordinates of all 4 atoms:
Re  0.500  0.500  0.000
Zn  0.750  0.250  0.500
Br  0.250  0.750  0.500
Br  0.000  0.000  0.000



4.
Below is a relaxed structure of CsTl2AsF6, with properties calculated at the PBE level.

Computed properties:
Density of states at the Fermi level = 0.000 states/eV per atom
Total magnetization = 0.00 μB per cell
Total DFT energy (no corrections) = -4.258 eV/atom
Energy relative to the elements, uncorrected = -2.1116 eV/atom
Space group = No. 14
Calculated volume = 437.3 Å³/cell

Unit cell a=6.356 b=7.221 c=9.530 alpha=90.00 beta=89.51 gamma=90.00
Fractional coordinates of all 20 atoms:
Tl  0.509  0.532  0.770
F  0.597  0.098  0.304
F  0.647  0.225  0.595
As  0.500  0.000  0.500
F  0.097  0.402  0.804
Cs  0.500  0.000  0.000
As  0.000  0.500  0.000
Tl  0.991  0.032  0.730
Tl  0.491  0.468  0.230
Tl  0.009  0.968  0.270
F  0.353  0.775  0.405
F  0.147  0.275  0.095
F  0.403  0.902  0.696
F  0.853  0.725  0.905
F  0.712  0.359  0.987
F  0.212  0.141  0.487
F  0.903  0.598  0.196
F  0.788  0.859  0.513
Cs  0.000  0.500  0.500
F  0.288  0.641  0.013



5.
Below is a relaxed structure of BaCa2FeSb, with properties calculated at the PBE level.

Computed properties:
Density of states at the Fermi level = 0.850 states/eV per atom
Total magnetization = 1.19 μB per cell
Total DFT energy (no corrections) = -3.633 eV/atom
Energy relative to the elements, uncorrected = 0.0689 eV/atom
Space group = No. 123
Calculated volume = 162.6 Å³/cell

Unit cell a=5.386 b=5.606 c=5.386 alpha=90.00 beta=90.00 gamma=90.00
Fractional coordinates of all 5 atoms:
Ca  0.000  0.000  0.500
Ba  0.000  0.500  0.000
Sb  0.500  0.500  0.500
Ca  0.500  0.000  0.000
Fe  0.000  0.000  0.000



6.
Below is a relaxed structure of ZrCoBr3, with properties calculated at the PBE level.

Computed properties:
Density of states at the Fermi level = 1.703 states/eV per atom
Total magnetization = 3.34 μB per cell
Total DFT energy (no corrections) = -4.075 eV/atom
Energy relative to the elements, uncorrected = 0.0599 eV/atom
Space group = No. 221
Calculated volume = 153.6 Å³/cell

Unit cell a=5.356 b=5.356 c=5.356 alpha=90.00 beta=90.00 gamma=90.00
Fractional coordinates of all 5 atoms:
Br  0.500  0.000  0.000
Co  0.500  0.500  0.500
Br  0.000  0.000  0.500
Br  0.000  0.500  0.000
Zr  0.000  0.000  0.000



7.
Below is a relaxed structure of TaInFe, with properties calculated at the PBE level.

Computed properties:
Density of states at the Fermi level = 1.090 states/eV per atom
Total magnetization = 1.43 μB per cell
Total DFT energy (no corrections) = -6.740 eV/atom
Space group = No. 216
Energy relative to the elements = 273.5 kJ/mol of formula units
Calculated volume = 62.2 Å³/cell

Unit cell a=4.447 b=4.447 c=4.447 alpha=60.00 beta=60.00 gamma=60.00
Fractional coordinates of all 3 atoms:
Fe  0.000  0.000  0.000
In  0.500  0.500  0.500
Ta  0.750  0.750  0.750



8.
Below is a relaxed structure of LiIn2I, with properties calculated at the PBE level.

Computed properties:
Density of states at the Fermi level = 0.454 states/eV per atom
Total magnetization = 0.00 μB per cell
Excess energy over the best structure of this formula in the dataset = 0.0 meV per atom
Total DFT energy (no corrections) = -2.367 eV/atom
Energy relative to the elements, uncorrected = -0.1317 eV/atom
Space group = No. 122
Calculated volume = 241.0 Å³/cell

Unit cell a=8.915 b=8.915 c=6.995 alpha=50.41 beta=50.41 gamma=90.00
Fractional coordinates of all 8 atoms:
In  0.375  0.410  0.750
I  0.000  0.000  0.000
In  0.875  0.840  0.750
Li  0.500  0.500  0.000
Li  0.250  0.750  0.500
In  0.160  0.625  0.250
I  0.750  0.250  0.500
In  0.590  0.125  0.250